# 1
First-principles (PBE) data for a geometry-optimized Tb4TeAs3 structure, as listed in Alexandria.

The structure belongs to space group Pmmm (No. 47); the cell edges are 4.181, 5.951 and 8.425 Å and the angles 90.00°, 90.00° and 90.00°. The asymmetric unit holds Tb at (0.000, 0.000, 0.000), Tb at (0.000, 0.000, 0.500), Tb at (0.500, 0.500, 0.230), Te at (0.000, 0.500, 0.500), As at (0.000, 0.500, 0.000) and As at (0.500, 0.000, 0.251).

The calculation puts the uncorrected formation energy at -1.51 eV per atom.

***

# 2
First-principles (PBE) data for a geometry-optimized Tb6TeAs5 structure, as listed in Alexandria.

The structure belongs to space group C2/m (No. 12); the cell edges are 7.244, 12.526 and 7.239 Å and the angles 90.00°, 109.50° and 90.00°. The asymmetric unit holds Tb at (0.237, 0.000, 0.257), Tb at (0.239, 0.174, 0.742), Te at (0.000, 0.500, 0.000), As at (0.000, 0.000, 0.500), As at (0.000, 0.167, 0.000) and As at (0.000, 0.338, 0.500).

The calculation puts the uncorrected formation energy at -1.54 eV per atom.

***

# 3
First-principles (PBE) data for a geometry-optimized Tb7Te4As4 structure, as listed in Alexandria.

The structure belongs to space group I4/mmm (No. 139); the cell edges are 14.878, 14.878 and 7.592 Å and the angles 90.00°, 90.00° and 90.00°. The asymmetric unit holds Tb at (0.000, 0.000, 0.243), Tb at (0.000, 0.288, 0.000), Tb at (0.000, 0.365, 0.500), Tb at (0.215, 0.215, 0.500), Te at (0.000, 0.167, 0.500), Te at (0.126, 0.126, 0.000) and As at (0.145, 0.355, 0.250).

The calculation puts the uncorrected formation energy at -1.29 eV per atom.

***

# 4
First-principles (PBE) data for a geometry-optimized Tb3TeAs2 structure, as listed in Alexandria.

The structure belongs to space group Imma (No. 74); the cell edges are 7.471, 11.337 and 8.773 Å and the angles 90.00°, 90.00° and 90.00°. The asymmetric unit holds Tb at (0.229, 0.000, 0.000), Tb at (0.250, 0.250, 0.250), Te at (0.000, 0.250, 0.940) and As at (0.000, 0.053, 0.286).

The calculation puts the uncorrected formation energy at -1.07 eV per atom.

***

# 5
First-principles (PBE) data for a geometry-optimized Tb3Te12As5 structure, as listed in Alexandria.

The structure belongs to space group Ia-3d (No. 230); the cell edges are 17.519, 17.519 and 17.519 Å and the angles 90.00°, 90.00° and 90.00°. The asymmetric unit holds Tb at (0.000, 0.250, 0.125), Te at (0.018, 0.064, 0.652), As at (0.000, 0.000, 0.000) and As at (0.000, 0.250, 0.375).

The calculation puts the uncorrected formation energy at -0.40 eV per atom.

***

# 6
First-principles (PBE) data for a geometry-optimized Tb4Te3As structure, as listed in Alexandria.

The structure belongs to space group Cmmm (No. 65); the cell edges are 8.736, 12.242 and 4.276 Å and the angles 90.00°, 90.00° and 90.00°. The asymmetric unit holds Tb at (0.000, 0.233, 0.000), Tb at (0.222, 0.000, 0.500), Te at (0.000, 0.500, 0.000), Te at (0.250, 0.250, 0.500) and As at (0.000, 0.000, 0.000).

The calculation puts the uncorrected formation energy at -1.42 eV per atom.

***

# 7
First-principles (PBE) data for a geometry-optimized Tb8Te3As4 structure, as listed in Alexandria.

The structure belongs to space group C2/m (No. 12); the cell edges are 11.922, 11.946 and 8.409 Å and the angles 90.00°, 134.68° and 90.00°. The asymmetric unit holds Tb at (0.000, 0.238, 0.000), Tb at (0.000, 0.242, 0.500), Tb at (0.229, 0.000, 0.979), Tb at (0.238, 0.000, 0.483), Te at (0.000, 0.500, 0.000), Te at (0.250, 0.250, 0.000), As at (0.000, 0.000, 0.000), As at (0.000, 0.000, 0.500) and As at (0.250, 0.250, 0.500).

The calculation puts the uncorrected formation energy at -1.32 eV per atom.

***

# 8
First-principles (PBE) data for a geometry-optimized TbThTeAs structure, as listed in Alexandria.

The structure belongs to space group R3m (No. 160, hexagonal axes); the cell edges are 4.1940, 4.1940 and 22.5307 Å and the angles 90.00°, 90.00° and 120.00°. The asymmetric unit holds Tb at (0.0000, 0.0000, 0.0000), Th at (0.0000, 0.0000, 0.8091), Te at (0.0000, 0.0000, 0.2394) and As at (0.0000, 0.0000, 0.4026).

The calculation puts the uncorrected formation energy at -1.36 eV per atom.

***

# 9
First-principles (PBE) data for a geometry-optimized TbTmTeAs structure, as listed in Alexandria.

The structure belongs to space group R3m (No. 160, hexagonal axes); the cell edges are 4.1217, 4.1217 and 21.8729 Å and the angles 90.00°, 90.00° and 120.00°. The asymmetric unit holds Tb at (0.0000, 0.0000, 0.0000), Tm at (0.0000, 0.0000, 0.1897), Te at (0.0000, 0.0000, 0.4290) and As at (0.0000, 0.0000, 0.5951).

The calculation puts the uncorrected formation energy at -1.43 eV per atom.

***

# 10
First-principles (PBE) data for a geometry-optimized TbYTeAs structure, as listed in Alexandria.

The structure belongs to space group R3m (No. 160, hexagonal axes); the cell edges are 4.1571, 4.1571 and 21.9751 Å and the angles 90.00°, 90.00° and 120.00°. The asymmetric unit holds Tb at (0.0000, 0.0000, 0.0000), Y at (0.0000, 0.0000, 0.1894), Te at (0.0000, 0.0000, 0.4277) and As at (0.0000, 0.0000, 0.5966).

The calculation puts the uncorrected formation energy at -1.48 eV per atom.

***

# 11
First-principles (PBE) data for a geometry-optimized TbTh4As5 structure, as listed in Alexandria.

The structure belongs to space group I4/m (No. 87); the cell edges are 9.462, 9.462 and 5.991 Å and the angles 90.00°, 90.00° and 90.00°. The asymmetric unit holds Tb at (0.000, 0.000, 0.000), Th at (0.099, 0.700, 0.500), As at (0.000, 0.000, 0.500) and As at (0.099, 0.704, 0.000).

Its formation energy is -1.42 eV/atom.

***

# 12
First-principles (PBE) data for a geometry-optimized Tb5Th3As8 structure, as listed in Alexandria.

The structure belongs to space group R-3m (No. 166, hexagonal axes); the cell edges are 8.3793, 8.3793 and 20.4509 Å and the angles 90.00°, 90.00° and 120.00°. The asymmetric unit holds Tb at (0.0000, 0.0000, 0.0000), Tb at (0.0000, 0.0000, 0.5000), Tb at (0.0000, 0.5000, 0.0000), Th at (0.0000, 0.5000, 0.5000), As at (0.0000, 0.0000, 0.2523) and As at (0.0025, 0.5012, 0.2512).

Its formation energy is -1.50 eV/atom.

***

Number 1: volume 26.21 Å³ per atom. Number 2: volume 25.80 Å³ per atom. Number 3: volume 28.01 Å³ per atom. Number 4: volume 30.96 Å³ per atom. Number 5: volume 33.61 Å³ per atom. Number 6: volume 28.59 Å³ per atom. Number 7: volume 28.39 Å³ per atom. Number 8: volume 28.60 Å³ per atom. Number 9: volume 26.82 Å³ per atom. Number 10: volume 27.41 Å³ per atom. Number 11: volume 26.82 Å³ per atom. Number 12: volume 25.91 Å³ per atom.